No. 1
The following is a PBE-GGA calculation of an optimized crystal structure of Tb4Pm9Mg11, from Alexandria.

Output
M_tot, μB per atom: 0.000
SG: Cmmm (65)

Lattice parameters (Å, degrees): 3.7007 14.1527 14.1527 110.08 90.00 90.00
Closest atoms and distances in Å follow each position.
Positions (direct):
Pm 0.5000 0.5000 0.5000  4 Tb 3.28
Pm 0.5000 0.1467 0.6241  8 Mg 3.33-3.50, 1 Tb 3.53, 3 Pm 3.70-3.72
Pm 0.5000 0.9662 0.7916  8 Mg 3.32-3.37, 1 Tb 3.61, 2 Pm 3.70
Pm 0.5000 0.2084 0.0338  8 Mg 3.32-3.37, 1 Tb 3.61, 2 Pm 3.70
Pm 0.5000 0.6241 0.1467  8 Mg 3.33-3.50, 1 Tb 3.53, 3 Pm 3.70-3.72
Pm 0.5000 0.7916 0.9662  8 Mg 3.32-3.37, 1 Tb 3.61, 2 Pm 3.70
Pm 0.5000 0.8533 0.3759  8 Mg 3.33-3.50, 1 Tb 3.53, 3 Pm 3.70-3.72
Pm 0.5000 0.0338 0.2084  8 Mg 3.32-3.37, 1 Tb 3.61, 2 Pm 3.70
Pm 0.5000 0.3759 0.8533  8 Mg 3.33-3.50, 1 Tb 3.53, 3 Pm 3.70-3.72
Mg 0.0000 0.8290 0.1710  8 Pm 3.32-3.36, 2 Mg 3.70
Mg 0.0000 0.0000 0.0000  8 Pm 3.37, 2 Mg 3.70
Mg 0.0000 0.5871 0.9411  2 Tb 3.26, 6 Pm 3.33-3.37, 1 Mg 3.42
Mg 0.0000 0.9411 0.5871  2 Tb 3.26, 6 Pm 3.33-3.37, 1 Mg 3.42
Mg 0.0000 0.6387 0.3613  4 Tb 3.34, 6 Pm 3.50-3.71, 2 Mg 3.70
Mg 0.0000 0.0589 0.4129  2 Tb 3.26, 6 Pm 3.33-3.37, 1 Mg 3.42
Mg 0.0000 0.2384 0.2384  4 Tb 3.26, 4 Pm 3.34
Mg 0.0000 0.1710 0.8290  8 Pm 3.32-3.36, 2 Mg 3.70
Mg 0.0000 0.4129 0.0589  2 Tb 3.26, 6 Pm 3.33-3.37, 1 Mg 3.42
Mg 0.0000 0.7616 0.7616  4 Tb 3.26, 4 Pm 3.34
Mg 0.0000 0.3613 0.6387  4 Tb 3.34, 6 Pm 3.50-3.71, 2 Mg 3.70
Tb 0.5000 0.2543 0.4332  6 Mg 3.26-3.34, 3 Pm 3.28-3.61
Tb 0.5000 0.5668 0.7457  6 Mg 3.26-3.34, 3 Pm 3.28-3.61
Tb 0.5000 0.4332 0.2543  6 Mg 3.26-3.34, 3 Pm 3.28-3.61
Tb 0.5000 0.7457 0.5668  6 Mg 3.26-3.34, 3 Pm 3.28-3.61

No. 2
The following is a PBE-GGA calculation of an optimized crystal structure of Tb6Pm2Mg, from Alexandria.

Output
M_tot, μB per atom: 0.000
SG: P4_2/mnm (136)

Lattice parameters (Å, degrees): 5.0511 10.6096 10.6096 90.00 89.99 90.00
Closest atoms and distances in Å follow each position.
Positions (direct):
Tb 0.5000 0.5005 0.6663  8 Tb 3.53-3.55, 1 Mg 3.54, 3 Pm 3.55-3.56
Tb 0.9999 0.3337 0.5003  8 Tb 3.53-3.55, 1 Mg 3.54, 3 Pm 3.55-3.56
Tb 0.5001 0.8327 0.3329  4 Pm 3.52-3.57, 6 Tb 3.54-3.55, 2 Mg 3.56
Tb 0.0000 0.0005 0.8337  8 Tb 3.53-3.55, 1 Mg 3.54, 3 Pm 3.55-3.56
Tb 0.9999 0.3327 0.1671  4 Pm 3.52-3.57, 6 Tb 3.54-3.55, 2 Mg 3.56
Tb 0.5001 0.8337 0.9997  8 Tb 3.53-3.55, 1 Mg 3.54, 3 Pm 3.55-3.56
Tb 0.4999 0.1663 0.0003  8 Tb 3.53-3.55, 1 Mg 3.54, 3 Pm 3.55-3.56
Tb 0.0001 0.6663 0.4997  8 Tb 3.53-3.55, 1 Mg 3.54, 3 Pm 3.55-3.56
Tb 0.4999 0.1673 0.6671  4 Pm 3.52-3.57, 6 Tb 3.54-3.55, 2 Mg 3.56
Tb 0.0000 0.9995 0.1663  8 Tb 3.53-3.55, 1 Mg 3.54, 3 Pm 3.55-3.56
Tb 0.5000 0.4995 0.3337  8 Tb 3.53-3.55, 1 Mg 3.54, 3 Pm 3.55-3.56
Tb 0.0001 0.6673 0.8329  4 Pm 3.52-3.57, 6 Tb 3.54-3.55, 2 Mg 3.56
Pm 0.4998 0.1648 0.3349  10 Tb 3.52-3.57, 2 Mg 3.54
Pm 0.5002 0.8352 0.6651  10 Tb 3.52-3.57, 2 Mg 3.54
Pm 0.0002 0.6648 0.1651  10 Tb 3.52-3.57, 2 Mg 3.54
Pm 0.9998 0.3352 0.8349  10 Tb 3.52-3.57, 2 Mg 3.54
Mg 0.5000 0.5000 0.0000  4 Pm 3.54, 8 Tb 3.54-3.56
Mg 0.0000 0.0000 0.5000  4 Pm 3.54, 8 Tb 3.54-3.56

No. 3
The following is a PBE-GGA calculation of an optimized crystal structure of Tb7Pm4Mg, from Alexandria.

Output
M_tot, μB per atom: 0.000
SG: P-3m1 (164)

Lattice parameters (Å, degrees): 3.5861 3.5861 34.6842 90.00 90.00 120.00
Closest atoms and distances in Å follow each position.
Positions (direct):
Pm 0.6667 0.3333 0.0849  6 Pm 3.59, 6 Tb 3.60-3.61
Pm 0.3333 0.6667 0.9151  6 Pm 3.59, 6 Tb 3.60-3.61
Pm 0.3333 0.6667 0.6612  6 Tb 3.58-3.62, 6 Pm 3.59
Pm 0.6667 0.3333 0.3388  6 Tb 3.58-3.62, 6 Pm 3.59
Tb 0.0000 0.0000 0.0000  6 Tb 3.59, 6 Pm 3.60
Tb 0.6667 0.3333 0.8300  9 Tb 3.55-3.59, 3 Pm 3.61
Tb 0.0000 0.0000 0.2533  9 Tb 3.55-3.59, 3 Pm 3.62
Tb 0.0000 0.0000 0.7467  9 Tb 3.55-3.59, 3 Pm 3.62
Tb 0.3333 0.6667 0.1700  9 Tb 3.55-3.59, 3 Pm 3.61
Tb 0.3333 0.6667 0.4231  3 Mg 3.38, 3 Pm 3.58, 6 Tb 3.59
Tb 0.6667 0.3333 0.5769  3 Mg 3.38, 3 Pm 3.58, 6 Tb 3.59
Mg 0.0000 0.0000 0.5000  6 Tb 3.38, 6 Mg 3.59

No. 4
The following is a PBE-GGA calculation of an optimized crystal structure of Tb2Pm8Mg, from Alexandria.

Output
M_tot, μB per atom: 0.000
SG: Cm (8)

Lattice parameters (Å, degrees): 5.4950 10.4056 8.4283 51.88 89.89 89.82
Closest atoms and distances in Å follow each position.
Positions (direct):
Pm 0.4984 0.2975 0.7257  7 Pm 3.40-3.76, 2 Tb 3.51-3.64, 2 Mg 3.71
Pm 0.5016 0.6965 0.2744  7 Pm 3.40-3.76, 2 Tb 3.51-3.64, 2 Mg 3.70-3.71
Pm 0.5016 0.9708 0.7256  7 Pm 3.40-3.76, 2 Tb 3.51-3.64, 2 Mg 3.70-3.71
Pm 0.0000 0.2495 0.4953  2 Tb 3.22, 1 Mg 3.35, 4 Pm 3.57-3.58
Pm 0.9998 0.3322 0.0000  7 Pm 3.43-3.76, 1 Mg 3.50, 4 Tb 3.61-3.62
Pm 0.0000 0.7448 0.5047  2 Tb 3.22, 1 Mg 3.35, 4 Pm 3.57-3.58
Pm 0.0002 0.6615 0.0000  7 Pm 3.43-3.76, 1 Mg 3.48, 4 Tb 3.60-3.61
Pm 0.4984 0.0232 0.2743  7 Pm 3.40-3.76, 2 Tb 3.51-3.64, 2 Mg 3.71
Mg 0.0000 0.9962 0.0000  12 Pm 3.35-3.71
Tb 0.5000 0.3766 0.2408  1 Tb 3.19, 4 Pm 3.22-3.51
Tb 0.5000 0.6174 0.7592  1 Tb 3.19, 4 Pm 3.22-3.51

No. 5
The following is a PBE-GGA calculation of an optimized crystal structure of Tb2PmMg5, from Alexandria.

Output
M_tot, μB per atom: 0.000
SG: I4/mmm (139)

Lattice parameters (Å, degrees): 5.2825 5.2825 8.4849 108.14 108.14 90.00
Closest atoms and distances in Å follow each position.
Positions (direct):
Mg 0.1211 0.6211 0.2423  4 Tb 3.22-3.37, 2 Pm 3.22, 2 Mg 3.22
Mg 0.3789 0.8789 0.7577  4 Tb 3.22-3.37, 2 Pm 3.22, 2 Mg 3.22
Mg 0.6211 0.1211 0.2423  4 Tb 3.22-3.37, 2 Mg 3.22, 2 Pm 3.22
Mg 0.8789 0.3789 0.7577  4 Tb 3.22-3.37, 2 Pm 3.22, 2 Mg 3.22
Mg 0.5000 0.5000 0.0000  8 Mg 3.22
Tb 0.2585 0.2585 0.5169  8 Mg 3.22-3.37
Tb 0.7415 0.7415 0.4831  8 Mg 3.22-3.37
Pm 0.0000 0.0000 0.0000  8 Mg 3.22

No. 6
The following is a PBE-GGA calculation of an optimized crystal structure of Tb4Pm6Mg, from Alexandria.

Output
M_tot, μB per atom: 0.000
SG: I-42m (121)

Lattice parameters (Å, degrees): 9.7515 9.7515 9.7515 56.81 140.69 140.69
Closest atoms and distances in Å follow each position.
Positions (direct):
Tb 0.0000 0.6436 0.0093  5 Pm 3.35-3.55, 1 Tb 3.39, 1 Mg 3.43
Tb 0.0000 0.0093 0.6436  5 Pm 3.35-3.55, 1 Tb 3.39, 1 Mg 3.43
Tb 0.6343 0.9907 0.9907  5 Pm 3.35-3.55, 1 Tb 3.39, 1 Mg 3.43
Tb 0.3657 0.3564 0.3564  5 Pm 3.35-3.55, 1 Tb 3.39, 1 Mg 3.43
Pm 0.6547 0.1964 0.1964  3 Pm 3.20-3.31, 5 Tb 3.35-3.55
Pm 0.0000 0.4584 0.8036  3 Pm 3.20-3.31, 5 Tb 3.35-3.55
Pm 0.5000 0.0000 0.5000  2 Mg 3.28, 4 Pm 3.31
Pm 0.0000 0.8036 0.4584  3 Pm 3.20-3.31, 5 Tb 3.35-3.55
Pm 0.5000 0.5000 0.0000  2 Mg 3.28, 4 Pm 3.31
Pm 0.3453 0.5416 0.5416  3 Pm 3.20-3.31, 5 Tb 3.35-3.55
Mg 0.0000 0.0000 0.0000  4 Pm 3.28, 4 Tb 3.43

No. 7
The following is a PBE-GGA calculation of an optimized crystal structure of TbPmMg4, from Alexandria.

Output
M_tot, μB per atom: 0.000
SG: F-43m (216)

Lattice parameters (Å, degrees): 6.0754 6.0754 6.0754 60.00 60.00 60.00
Closest atoms and distances in Å follow each position.
Positions (direct):
Mg 0.6251 0.6251 0.6251  6 Mg 3.04
Mg 0.6251 0.1247 0.6251  6 Mg 3.04
Mg 0.6251 0.6251 0.1247  6 Mg 3.04
Mg 0.1247 0.6251 0.6251  6 Mg 3.04
Tb 0.0000 0.0000 0.0000  12 Mg 3.56, 4 Pm 3.72
Pm 0.2500 0.2500 0.2500  12 Mg 3.56, 4 Tb 3.72

No. 8
The following is a PBE-GGA calculation of an optimized crystal structure of Tb2Pm3Mg8, from Alexandria.

Output
M_tot, μB per atom: 0.001
SG: R-3m (166)

Lattice parameters (Å, degrees): 5.8613 5.8613 12.9907 76.96 76.96 60.00
Closest atoms and distances in Å follow each position.
Positions (direct):
Pm 0.1833 0.1833 0.4500  10 Mg 3.45-3.50, 3 Pm 3.61
Pm 0.0000 0.0000 0.0000  6 Tb 3.53
Pm 0.8167 0.8167 0.5500  10 Mg 3.45-3.50, 3 Pm 3.61
Mg 0.7321 0.7321 0.3051  4 Mg 2.92-2.94
Mg 0.2679 0.7694 0.6949  4 Mg 2.92-2.94
Mg 0.2306 0.7321 0.3051  4 Mg 2.92-2.94
Mg 0.2752 0.2752 0.1745  1 Tb 3.18, 6 Mg 3.36, 1 Pm 3.45
Mg 0.7248 0.7248 0.8255  1 Tb 3.18, 6 Mg 3.36, 1 Pm 3.45
Mg 0.7321 0.2306 0.3051  4 Mg 2.92-2.94
Mg 0.7694 0.2679 0.6949  4 Mg 2.92-2.94
Mg 0.2679 0.2679 0.6949  4 Mg 2.92-2.94
Tb 0.6402 0.6402 0.0794  4 Mg 3.18-3.30, 3 Pm 3.53
Tb 0.3598 0.3598 0.9206  4 Mg 3.18-3.30, 3 Pm 3.53

No. 9
The following is a PBE-GGA calculation of an optimized crystal structure of Tb2Pm3Mg, from Alexandria.

Output
M_tot, μB per atom: 0.000
SG: C2/c (15)

Lattice parameters (Å, degrees): 7.0568 6.2214 9.4103 90.78 112.02 90.00
Closest atoms and distances in Å follow each position.
Positions (direct):
Mg 0.1320 0.2500 0.0000  8 Pm 3.53-3.60, 2 Tb 3.54, 2 Mg 3.63
Mg 0.8680 0.7500 0.0000  8 Pm 3.53-3.60, 2 Tb 3.54, 2 Mg 3.63
Pm 0.3680 0.7500 0.0000  4 Mg 3.53, 4 Tb 3.56-3.58, 4 Pm 3.56-3.63
Pm 0.0424 0.0796 0.3341  6 Tb 3.52-3.62, 2 Mg 3.54-3.60, 4 Pm 3.55-3.57
Pm 0.9576 0.9204 0.6659  6 Tb 3.52-3.62, 2 Mg 3.54-3.60, 4 Pm 3.55-3.57
Pm 0.6320 0.2500 0.0000  4 Mg 3.53, 4 Tb 3.56-3.58, 4 Pm 3.56-3.63
Pm 0.7083 0.4204 0.6659  6 Tb 3.52-3.62, 2 Mg 3.54-3.60, 4 Pm 3.55-3.57
Pm 0.2917 0.5796 0.3341  6 Tb 3.52-3.62, 2 Mg 3.54-3.60, 4 Pm 3.55-3.57
Tb 0.4570 0.9132 0.6670  8 Pm 3.52-3.62, 1 Mg 3.54, 3 Tb 3.57-3.60
Tb 0.2100 0.4132 0.6670  8 Pm 3.52-3.62, 1 Mg 3.54, 3 Tb 3.57-3.60
Tb 0.5430 0.0868 0.3330  8 Pm 3.52-3.62, 1 Mg 3.54, 3 Tb 3.57-3.60
Tb 0.7900 0.5868 0.3330  8 Pm 3.52-3.62, 1 Mg 3.54, 3 Tb 3.57-3.60

No. 10
The following is a PBE-GGA calculation of an optimized crystal structure of Tb8PmMg2, from Alexandria.

Output
M_tot, μB per atom: 0.000
SG: C2/m (12)

Lattice parameters (Å, degrees): 5.3154 8.3744 8.7696 113.26 107.64 90.00
Closest atoms and distances in Å follow each position.
Positions (direct):
Tb 0.1491 0.2055 0.2982  3 Mg 3.24-3.31, 4 Tb 3.49-3.63, 2 Pm 3.56
Tb 0.6875 0.9511 0.3750  1 Mg 3.20, 5 Tb 3.27-3.49, 1 Pm 3.32
Tb 0.8509 0.7945 0.7018  3 Mg 3.24-3.31, 4 Tb 3.49-3.63, 2 Pm 3.56
Tb 0.0547 0.7353 0.1093  1 Mg 3.33, 7 Tb 3.45-3.64
Tb 0.6000 0.4709 0.2001  3 Mg 3.31-3.35, 4 Tb 3.57-3.67, 1 Pm 3.59
Tb 0.3125 0.0489 0.6250  1 Mg 3.20, 5 Tb 3.27-3.49, 1 Pm 3.32
Tb 0.9453 0.2647 0.8907  1 Mg 3.33, 7 Tb 3.45-3.64
Tb 0.4000 0.5291 0.7999  3 Mg 3.31-3.35, 4 Tb 3.57-3.67, 1 Pm 3.59
Mg 0.2259 0.6296 0.4518  8 Tb 3.20-3.35
Mg 0.7741 0.3704 0.5482  8 Tb 3.20-3.35
Pm 0.5000 0.0000 0.0000  8 Tb 3.32-3.59

No. 11
The following is a PBE-GGA calculation of an optimized crystal structure of Tb8Pm3Mg, from Alexandria.

Output
M_tot, μB per atom: 0.000
SG: Cm (8)

Lattice parameters (Å, degrees): 3.4410 8.8308 14.4073 63.71 96.86 90.00
Closest atoms and distances in Å follow each position.
Positions (direct):
Pm 0.4821 0.1927 0.9642  3 Pm 3.22-3.44, 2 Tb 3.25-3.54, 1 Mg 3.35
Pm 0.5182 0.7916 0.0364  4 Pm 3.22-3.44, 2 Tb 3.29-3.43
Pm 0.6445 0.5558 0.2891  3 Pm 3.27-3.44, 7 Tb 3.39-3.62
Tb 0.3066 0.8805 0.6131  8 Tb 3.27-3.54, 1 Mg 3.46
Tb 0.4325 0.6382 0.8651  4 Tb 3.27-3.44, 2 Pm 3.29-3.54, 1 Mg 3.39
Tb 0.1095 0.9528 0.2189  8 Tb 3.44-3.82, 4 Pm 3.62-3.72
Tb 0.8918 0.0460 0.7836  8 Tb 3.44-3.77, 2 Mg 3.63, 4 Pm 3.72-3.78
Tb 0.5623 0.3613 0.1246  3 Pm 3.25-3.48, 4 Tb 3.39-3.44
Tb 0.6935 0.1169 0.3871  10 Tb 3.39-3.74, 1 Pm 3.48
Tb 0.2643 0.3039 0.5286  1 Mg 3.30, 7 Tb 3.38-3.57, 2 Pm 3.58
Tb 0.7398 0.6845 0.4795  1 Pm 3.39, 7 Tb 3.44-3.56, 2 Mg 3.44
Mg 0.3532 0.4455 0.7065  7 Tb 3.30-3.63, 1 Pm 3.35, 2 Mg 3.44

No. 12
The following is a PBE-GGA calculation of an optimized crystal structure of Tb5PmMg, from Alexandria.

Output
M_tot, μB per atom: 0.000
SG: Imm2 (44)

Lattice parameters (Å, degrees): 10.8454 6.5509 7.0874 117.53 139.92 90.00
Closest atoms and distances in Å follow each position.
Positions (direct):
Mg 0.8301 0.5000 0.0000  3 Tb 3.01-3.23
Tb 0.1079 0.5000 0.0000  1 Mg 3.01, 2 Tb 3.24
Tb 0.3130 0.2390 0.4780  4 Tb 3.04-3.35, 1 Mg 3.23
Tb 0.8350 0.7610 0.5220  4 Tb 3.04-3.35, 1 Mg 3.23
Tb 0.3597 0.7668 0.0000  4 Tb 3.06-3.35
Tb 0.3597 0.2332 0.0000  4 Tb 3.06-3.35
Pm 0.7253 0.0000 0.0000  2 Tb 3.42, 2 Mg 3.47

no.,energy of formation (meV per atom)
1,-44
2,20
3,13
4,152
5,-87
6,267
7,-87
8,106
9,18
10,16
11,150
12,218